(1)
Density functional theory data (GGA-PBE) for a geometry-optimized TcIr6Rh3 structure.

Lattice parameters (Å, degrees): 10.025 2.725 10.926 90.00 101.08 90.00
Element x y z (fractional)
1 Tc 0.042 0.250 0.221
2 Tc 0.958 0.750 0.779
3 Ir 0.117 0.250 0.985
4 Ir 0.194 0.750 0.426
5 Ir 0.219 0.750 0.788
6 Ir 0.263 0.750 0.201
7 Ir 0.344 0.250 0.628
8 Ir 0.499 0.250 0.192
9 Ir 0.501 0.750 0.808
10 Ir 0.656 0.750 0.372
11 Ir 0.737 0.250 0.799
12 Ir 0.781 0.250 0.212
13 Ir 0.806 0.250 0.574
14 Ir 0.883 0.750 0.015
15 Rh 0.070 0.250 0.601
16 Rh 0.376 0.750 0.999
17 Rh 0.418 0.250 0.404
18 Rh 0.582 0.750 0.596
19 Rh 0.624 0.250 0.001
20 Rh 0.930 0.750 0.399

- symmetry = No. 11
- distance to the lowest polymorph of the same formula (eV per atom) = 0.0000
- V (Å³/cell) = 292.92

---

(2)
Density functional theory data (GGA-PBE) for a geometry-optimized Tc2IrRh structure.

Lattice parameters (Å, degrees): 6.192 6.192 6.192 90.00 90.00 90.00
Element x y z (fractional)
1 Tc 0.250 0.250 0.250
2 Tc 0.250 0.250 0.750
3 Tc 0.250 0.750 0.250
4 Tc 0.250 0.750 0.750
5 Tc 0.750 0.250 0.250
6 Tc 0.750 0.250 0.750
7 Tc 0.750 0.750 0.250
8 Tc 0.750 0.750 0.750
9 Ir 0.000 0.000 0.000
10 Ir 0.000 0.500 0.500
11 Ir 0.500 0.000 0.500
12 Ir 0.500 0.500 0.000
13 Rh 0.000 0.000 0.500
14 Rh 0.000 0.500 0.000
15 Rh 0.500 0.000 0.000
16 Rh 0.500 0.500 0.500

- symmetry = No. 225
- distance to the lowest polymorph of the same formula (eV per atom) = 0.6590
- V (Å³/cell) = 237.37

---

(3)
Density functional theory data (GGA-PBE) for a geometry-optimized TcIr6Rh2 structure.

Lattice parameters (Å, degrees): 6.523 6.630 6.826 104.57 95.37 105.18
Element x y z (fractional)
1 Tc 0.145 0.100 0.212
2 Tc 0.855 0.900 0.788
3 Ir 0.065 0.815 0.479
4 Ir 0.143 0.295 0.916
5 Ir 0.307 0.529 0.459
6 Ir 0.327 0.984 0.870
7 Ir 0.352 0.199 0.594
8 Ir 0.489 0.627 0.845
9 Ir 0.511 0.373 0.155
10 Ir 0.648 0.801 0.406
11 Ir 0.673 0.016 0.130
12 Ir 0.693 0.471 0.541
13 Ir 0.857 0.705 0.084
14 Ir 0.935 0.185 0.521
15 Rh 0.062 0.596 0.772
16 Rh 0.289 0.741 0.161
17 Rh 0.711 0.259 0.839
18 Rh 0.938 0.404 0.228

- symmetry = No. 2
- energy (eV/atom) = -8.544
- V (Å³/cell) = 271.72

---

(4)
Density functional theory data (GGA-PBE) for a geometry-optimized Tc2Ir2Rh3 structure.

Lattice parameters (Å, degrees): 17.151 4.358 2.735 90.00 90.17 90.00
Element x y z (fractional)
1 Tc 0.071 0.000 0.498
2 Tc 0.429 0.500 0.502
3 Tc 0.571 0.500 0.498
4 Tc 0.929 0.000 0.502
5 Ir 0.151 0.500 0.498
6 Ir 0.349 0.000 0.502
7 Ir 0.651 0.000 0.498
8 Ir 0.849 0.500 0.502
9 Rh 0.000 0.500 0.000
10 Rh 0.206 0.000 0.999
11 Rh 0.294 0.500 0.001
12 Rh 0.500 0.000 0.000
13 Rh 0.706 0.500 0.999
14 Rh 0.794 0.000 0.001

- symmetry = No. 12
- energy (eV/atom) = -8.598
- V (Å³/cell) = 204.37

---

(5)
Density functional theory data (GGA-PBE) for a geometry-optimized TcIrRh4 structure.

Lattice parameters (Å, degrees): 5.025 5.025 5.025 60.00 60.00 60.00
Element x y z (fractional)
1 Tc 0.000 0.000 0.000
2 Ir 0.250 0.250 0.250
3 Rh 0.125 0.625 0.625
4 Rh 0.625 0.125 0.625
5 Rh 0.625 0.625 0.125
6 Rh 0.625 0.625 0.625

- symmetry = No. 216
- distance to the lowest polymorph of the same formula (eV per atom) = 0.5207
- V (Å³/cell) = 89.71

---

(6)
Density functional theory data (GGA-PBE) for a geometry-optimized Tc2Ir3Rh4 structure.

Lattice parameters (Å, degrees): 4.776 6.993 8.502 71.86 73.79 89.98
Element x y z (fractional)
1 Tc 0.111 0.364 0.111
2 Tc 0.332 0.914 0.665
3 Tc 0.668 0.086 0.335
4 Tc 0.889 0.636 0.889
5 Ir 0.115 0.193 0.441
6 Ir 0.221 0.141 0.888
7 Ir 0.445 0.529 0.779
8 Ir 0.555 0.471 0.221
9 Ir 0.779 0.859 0.112
10 Ir 0.885 0.807 0.559
11 Rh 0.000 0.419 0.665
12 Rh 0.000 0.581 0.335
13 Rh 0.221 0.975 0.219
14 Rh 0.334 0.752 0.999
15 Rh 0.449 0.699 0.441
16 Rh 0.551 0.301 0.559
17 Rh 0.666 0.248 0.001
18 Rh 0.779 0.025 0.781

- symmetry = No. 2
- energy (eV/atom) = -8.630
- V (Å³/cell) = 257.96

---

(7)
Density functional theory data (GGA-PBE) for a geometry-optimized TcIr4Rh structure.

Lattice parameters (Å, degrees): 7.263 7.263 8.874 90.00 90.00 158.26
Element x y z (fractional)
1 Tc 0.167 0.833 0.500
2 Tc 0.833 0.167 0.000
3 Ir 0.056 0.944 0.753
4 Ir 0.170 0.830 0.003
5 Ir 0.390 0.610 0.752
6 Ir 0.495 0.505 0.002
7 Ir 0.505 0.495 0.502
8 Ir 0.610 0.390 0.252
9 Ir 0.830 0.170 0.503
10 Ir 0.944 0.056 0.253
11 Rh 0.278 0.722 0.251
12 Rh 0.722 0.278 0.751

- symmetry = No. 36
- distance to the lowest polymorph of the same formula (eV per atom) = 0.0000
- V (Å³/cell) = 173.39

---

(8)
Density functional theory data (GGA-PBE) for a geometry-optimized TcIr3Rh2 structure.

Lattice parameters (Å, degrees): 4.693 14.074 2.699 90.00 90.00 90.00
Element x y z (fractional)
1 Tc 0.000 0.000 0.000
2 Tc 0.500 0.500 0.000
3 Ir 0.000 0.165 0.500
4 Ir 0.000 0.500 0.500
5 Ir 0.000 0.835 0.500
6 Ir 0.500 0.000 0.500
7 Ir 0.500 0.335 0.500
8 Ir 0.500 0.665 0.500
9 Rh 0.000 0.335 0.000
10 Rh 0.000 0.665 0.000
11 Rh 0.500 0.165 0.000
12 Rh 0.500 0.835 0.000

- symmetry = No. 65
- distance to the lowest polymorph of the same formula (eV per atom) = 0.0000
- V (Å³/cell) = 178.24

---

(9)
Density functional theory data (GGA-PBE) for a geometry-optimized TcIrRh structure.

Lattice parameters (Å, degrees): 2.730 2.730 11.596 90.00 90.00 90.00
Element x y z (fractional)
1 Tc 0.000 0.000 0.000
2 Tc 0.500 0.500 0.500
3 Ir 0.000 0.000 0.660
4 Ir 0.500 0.500 0.160
5 Rh 0.000 0.000 0.336
6 Rh 0.500 0.500 0.836

- symmetry = No. 107
- distance to the lowest polymorph of the same formula (eV per atom) = 0.0029
- V (Å³/cell) = 86.41

---

(10)
Density functional theory data (GGA-PBE) for a geometry-optimized Tc2IrRh4 structure.

Lattice parameters (Å, degrees): 6.650 6.650 6.650 112.43 112.43 103.69
Element x y z (fractional)
1 Tc 0.148 0.648 0.795
2 Tc 0.352 0.148 0.500
3 Tc 0.648 0.852 0.500
4 Tc 0.852 0.352 0.205
5 Ir 0.250 0.250 0.000
6 Ir 0.750 0.750 0.000
7 Rh 0.011 0.811 0.500
8 Rh 0.189 0.689 0.200
9 Rh 0.311 0.511 0.500
10 Rh 0.489 0.989 0.800
11 Rh 0.511 0.011 0.200
12 Rh 0.689 0.489 0.500
13 Rh 0.811 0.311 0.800
14 Rh 0.989 0.189 0.500

- symmetry = No. 140
- energy (eV/atom) = -7.927
- V (Å³/cell) = 224.66

---

(11)
Density functional theory data (GGA-PBE) for a geometry-optimized TcIr2Rh3 structure.

Lattice parameters (Å, degrees): 5.435 3.848 8.219 90.00 90.27 90.00
Element x y z (fractional)
1 Tc 0.128 0.250 0.246
2 Tc 0.872 0.750 0.754
3 Ir 0.121 0.250 0.920
4 Ir 0.373 0.750 0.412
5 Ir 0.627 0.250 0.588
6 Ir 0.879 0.750 0.080
7 Rh 0.123 0.250 0.583
8 Rh 0.374 0.750 0.090
9 Rh 0.374 0.750 0.747
10 Rh 0.626 0.250 0.253
11 Rh 0.626 0.250 0.910
12 Rh 0.877 0.750 0.417

- symmetry = No. 11
- distance to the lowest polymorph of the same formula (eV per atom) = 0.0000
- V (Å³/cell) = 171.90

---

(12)
Density functional theory data (GGA-PBE) for a geometry-optimized TcIrRh structure.

Lattice parameters (Å, degrees): 5.893 5.893 5.893 90.00 90.00 90.00
Element x y z (fractional)
1 Tc 0.000 0.000 0.000
2 Tc 0.000 0.500 0.500
3 Tc 0.500 0.000 0.500
4 Tc 0.500 0.500 0.000
5 Ir 0.250 0.250 0.750
6 Ir 0.250 0.750 0.250
7 Ir 0.750 0.250 0.250
8 Ir 0.750 0.750 0.750
9 Rh 0.250 0.250 0.250
10 Rh 0.250 0.750 0.750
11 Rh 0.750 0.250 0.750
12 Rh 0.750 0.750 0.250

- symmetry = No. 216
- distance to the lowest polymorph of the same formula (eV per atom) = 0.5755
- V (Å³/cell) = 204.62